Below is crystalline Ac4SiAs2S at its relaxed geometry, with properties calculated at the PBE level.

The structure in CIF format:
```
data_Ac4SiAs2S
_chemical_formula_sum 'Ac4 Si1 As2 S1'
_cell_length_a 7.7997
_cell_length_b 4.5075
_cell_length_c 7.8233
_cell_angle_alpha 90.00
_cell_angle_beta 109.44
_cell_angle_gamma 90.00
_space_group_name_H-M_alt 'P 1 2/m 1'
_space_group_IT_number 10
_space_group_name_Hall '-P 2y'
loop_
_atom_site_label
_atom_site_type_symbol
_atom_site_fract_x
_atom_site_fract_y
_atom_site_fract_z
Ac1 Ac 0.2467 0.0000 0.2504
Ac2 Ac 0.2486 0.5000 0.7480
Si1 Si 0.0000 0.0000 0.5000
As1 As 0.0000 0.5000 0.0000
As2 As 0.5000 0.0000 0.0000
S1 S 0.5000 0.5000 0.5000
```

Output
Spin magnetization (μB per atom): 0.00
DFT total energy (eV/atom): -5.796
Calculated volume (Å³/atom): 32.4